[1]
Nd2YEr2 PBE optimized geometry; calculated total energy = -47.3 eV per cell; total magnetization = 0.0 μB per formula unit; E_form = 0.2994 eV/atom; Fermi-level density of states = 15.138 states/eV/cell
1.0
3.4260 -8.1734 0.0000
3.4260 8.1734 0.0000
0.0000 0.0000 6.2425
Nd Y Er
4 2 4
Direct
0.1012 0.8988 0.7500 Nd
0.3296 0.6704 0.2500 Nd
0.6704 0.3296 0.7500 Nd
0.8988 0.1012 0.2500 Nd
0.5000 0.5000 0.0000 Y
0.5000 0.5000 0.5000 Y
0.0892 0.4317 0.7500 Er
0.4317 0.0892 0.2500 Er
0.5683 0.9108 0.7500 Er
0.9108 0.5683 0.2500 Er

[2]
Mg2CrIn PBE optimized geometry; calculated total energy = -14.8 eV per cell; total magnetization = 3.9 μB per formula unit; E_form = 0.1955 eV/atom; Fermi-level density of states = 1.677 states/eV/cell
1.0
3.5645 0.0000 0.0000
0.0000 3.5645 0.0000
0.0000 0.0000 6.4830
Mg Cr In
2 1 1
Direct
0.0000 0.0000 0.0000 Mg
0.5000 0.5000 0.2632 Mg
0.0000 0.0000 0.4984 Cr
0.5000 0.5000 0.7315 In

[3]
Pm9NdDy2 PBE optimized geometry; calculated total energy = -56.5 eV per cell; total magnetization = 0.0 μB per formula unit; E_form = 0.0166 eV/atom; Fermi-level density of states = 19.781 states/eV/cell
1.0
5.1369 0.0000 0.0000
0.0000 5.1369 0.0000
0.0000 0.0000 15.4125
Pm Nd Dy
9 1 2
Direct
0.0000 0.0000 0.0000 Pm
0.0000 0.0000 0.3348 Pm
0.0000 0.0000 0.6652 Pm
0.0000 0.5000 0.1685 Pm
0.0000 0.5000 0.5000 Pm
0.0000 0.5000 0.8315 Pm
0.5000 0.0000 0.1685 Pm
0.5000 0.0000 0.5000 Pm
0.5000 0.0000 0.8315 Pm
0.5000 0.5000 0.0000 Nd
0.5000 0.5000 0.3343 Dy
0.5000 0.5000 0.6657 Dy

[4]
Li4Ga5Pt PBE optimized geometry; calculated total energy = -31.9 eV per cell; total magnetization = 0.0 μB per formula unit; E_form = -0.3029 eV/atom; Fermi-level density of states = 2.173 states/eV/cell
1.0
-4.4944 4.4944 2.3342
4.4944 -4.4944 2.3342
4.4944 4.4944 -2.3342
Li Ga Pt
4 5 1
Direct
0.0000 0.2895 0.2895 Li
0.0000 0.7105 0.7105 Li
0.2895 0.0000 0.2895 Li
0.7105 0.0000 0.7105 Li
0.2217 0.2217 0.0000 Ga
0.3553 0.3553 0.6104 Ga
0.3553 0.7449 0.0000 Ga
0.7449 0.3553 0.0000 Ga
0.7449 0.7449 0.3896 Ga
0.7247 0.7247 0.0000 Pt

[5]
TaFeAu2 PBE optimized geometry; calculated total energy = -26.2 eV per cell; total magnetization = 1.9 μB per formula unit; E_form = 0.1599 eV/atom; Fermi-level density of states = 3.174 states/eV/cell
1.0
4.7873 -1.4785 0.0000
4.7873 1.4785 0.0000
-0.9035 0.0000 4.6371
Ta Fe Au
1 1 2
Direct
0.0000 0.0000 0.0000 Ta
0.5000 0.5000 0.5000 Fe
0.2465 0.2465 0.7459 Au
0.7535 0.7535 0.2541 Au

[6]
SmNbOsRu PBE optimized geometry; calculated total energy = -35.5 eV per cell; total magnetization = 0.0 μB per formula unit; E_form = -0.0487 eV/atom; Fermi-level density of states = 2.533 states/eV/cell
1.0
0.0000 3.3142 3.3142
3.3142 0.0000 3.3142
3.3142 3.3142 0.0000
Sm Nb Os Ru
1 1 1 1
Direct
0.0000 0.0000 0.0000 Sm
0.5000 0.5000 0.5000 Nb
0.2500 0.2500 0.2500 Os
0.7500 0.7500 0.7500 Ru

[7]
La3Tb7Er PBE optimized geometry; calculated total energy = -49.9 eV per cell; total magnetization = 0.0 μB per formula unit; E_form = 0.1694 eV/atom; Fermi-level density of states = 17.556 states/eV/cell
1.0
7.1221 0.0000 0.0000
-3.5611 6.1679 0.0000
0.0000 0.0000 8.7965
La Tb Er
3 7 1
Direct
0.0002 0.5001 0.0000 La
0.4999 0.9998 0.0000 La
0.4999 0.5001 0.0000 La
0.1674 0.3348 0.6599 Tb
0.1674 0.8326 0.6599 Tb
0.3346 0.1673 0.3392 Tb
0.6652 0.8326 0.6599 Tb
0.6667 0.3333 0.6590 Tb
0.8327 0.1673 0.3392 Tb
0.8327 0.6654 0.3392 Tb
0.3333 0.6667 0.3412 Er

[8]
Y2SbPb2 PBE optimized geometry; formation energy without anion corrections = -1.91 eV per formula unit; calculated total energy = -52.7 eV per cell; total magnetization = 0.0 μB per formula unit; Fermi-level density of states = 8.245 states/eV/cell
1.0
8.2045 0.0000 0.0000
0.0000 8.2045 0.0000
0.0000 0.0000 4.3784
Y Sb Pb
4 2 4
Direct
0.1716 0.3284 0.0000 Y
0.3284 0.8284 0.0000 Y
0.6716 0.1716 0.0000 Y
0.8284 0.6716 0.0000 Y
0.0000 0.0000 0.5000 Sb
0.5000 0.5000 0.5000 Sb
0.1339 0.6339 0.5000 Pb
0.3661 0.1339 0.5000 Pb
0.6339 0.8661 0.5000 Pb
0.8661 0.3661 0.5000 Pb

[9]
HoPuCdGe PBE optimized geometry; calculated total energy = -25.7 eV per cell; total magnetization = 6.4 μB per formula unit; E_form = -0.3060 eV/atom; Fermi-level density of states = 9.799 states/eV/cell
1.0
0.0000 3.6520 3.6520
3.6520 0.0000 3.6520
3.6520 3.6520 0.0000
Ho Pu Cd Ge
1 1 1 1
Direct
0.0000 0.0000 0.0000 Ho
0.5000 0.5000 0.5000 Pu
0.2500 0.2500 0.2500 Cd
0.7500 0.7500 0.7500 Ge

[10]
Pr4In2Ru PBE optimized geometry; calculated total energy = -36.3 eV per cell; total magnetization = 0.0 μB per formula unit; E_form = -0.3401 eV/atom; Fermi-level density of states = 5.694 states/eV/cell
1.0
5.8260 -2.4827 0.0000
5.8260 2.4827 0.0000
-5.6087 0.0000 7.2001
Pr In Ru
4 2 1
Direct
0.0732 0.0732 0.3597 Pr
0.3362 0.3362 0.9574 Pr
0.6638 0.6638 0.0426 Pr
0.9268 0.9268 0.6403 Pr
0.3385 0.3385 0.3257 In
0.6615 0.6615 0.6743 In
0.0000 0.0000 0.0000 Ru

[11]
TiMnBi2 PBE optimized geometry; calculated total energy = -45.4 eV per cell; total magnetization = 5.0 μB per formula unit; E_form = 0.5290 eV/atom; Fermi-level density of states = 0.020 states/eV/cell
1.0
-3.2431 3.2431 6.3557
3.2431 -3.2431 6.3557
3.2431 3.2431 -6.3557
Ti Mn Bi
2 2 4
Direct
0.0000 0.0000 0.0000 Ti
0.7500 0.2500 0.5000 Ti
0.2500 0.7500 0.5000 Mn
0.5000 0.5000 0.0000 Mn
0.1210 0.6250 0.9960 Bi
0.3750 0.3710 0.4960 Bi
0.6290 0.1250 0.0040 Bi
0.8750 0.8790 0.5040 Bi

[12]
Dy2Al2CdRh5 PBE optimized geometry; calculated total energy = -124.0 eV per cell; total magnetization = 0.0 μB per formula unit; E_form = -0.7646 eV/atom; Fermi-level density of states = 9.813 states/eV/cell
1.0
9.9533 0.0000 0.0000
0.0000 9.9533 0.0000
0.0000 0.0000 3.5048
Dy Al Cd Rh
4 4 2 10
Direct
0.1761 0.3239 0.0000 Dy
0.3239 0.8239 0.0000 Dy
0.6761 0.1761 0.0000 Dy
0.8239 0.6761 0.0000 Dy
0.1218 0.6218 0.0000 Al
0.3782 0.1218 0.0000 Al
0.6218 0.8782 0.0000 Al
0.8782 0.3782 0.0000 Al
0.0000 0.0000 0.0000 Cd
0.5000 0.5000 0.0000 Cd
0.0000 0.5000 0.5000 Rh
0.0689 0.7889 0.5000 Rh
0.2111 0.0689 0.5000 Rh
0.2889 0.5689 0.5000 Rh
0.4311 0.2889 0.5000 Rh
0.5000 0.0000 0.5000 Rh
0.5689 0.7111 0.5000 Rh
0.7111 0.4311 0.5000 Rh
0.7889 0.9311 0.5000 Rh
0.9311 0.2111 0.5000 Rh